Record 1
La4Sb2Te, relaxed, DFT PBE; E_form (uncorrected) = -117 kJ per mole of atoms; distance to the lowest polymorph of the same formula = 0 meV per atom; total magnetic moment = 0.0 μB/cell
1.0
7.905 0.000 -2.779
-3.961 6.832 -2.800
0.018 0.000 8.379
La Sb Te
8 4 2
Cartesian
1.128 1.695 5.870
-0.537 2.690 1.697
-2.532 6.106 0.318
3.416 0.726 0.307
1.958 5.111 0.495
5.382 4.142 1.728
1.949 5.137 -3.695
5.081 1.721 4.480
2.478 2.563 2.797
-0.498 4.270 -1.397
-0.489 5.979 2.793
6.431 0.853 1.407
3.952 3.416 -1.389
-3.961 6.832 -2.800

Record 2
LaSbTe2, relaxed, DFT PBE; E_form (uncorrected) = -79 kJ per mole of atoms; total magnetic moment = 0.0 μB/cell
1.0
-3.672 -1.900 -0.014
0.647 -1.221 -4.093
3.461 -6.686 -0.334
Te La Sb
2 1 1
Cartesian
0.606 -1.146 -3.625
2.095 -4.028 -2.682
-0.809 -2.927 -1.114
1.245 -6.880 -3.327

Record 3
La4Sb2Te, relaxed, DFT PBE; E_form (uncorrected) = -61 kJ per mole of atoms; distance to the lowest polymorph of the same formula = 584 meV per atom; total magnetic moment = 0.0 μB/cell
1.0
-4.745 2.623 2.081
-3.211 -2.540 -4.119
-5.342 -6.441 4.041
La Sb Te
4 2 1
Cartesian
-2.373 1.312 1.041
-4.840 -4.056 2.179
-8.458 -2.301 -0.177
-1.605 -1.270 -2.060
-8.975 -4.757 1.740
-4.324 -1.600 0.262
0.000 0.000 0.000

Record 4
La4SbTe, relaxed, DFT PBE; E_form (uncorrected) = -30 kJ per mole of atoms; total magnetic moment = 0.0 μB/cell
1.0
-2.923 2.418 5.258
-1.165 6.364 0.423
-6.079 2.216 -0.402
Te La Sb
1 4 1
Cartesian
0.000 0.000 0.000
-6.844 5.234 1.783
-4.399 7.297 2.193
-5.274 5.334 4.599
-3.819 4.131 1.983
-7.626 8.248 3.959

Question: Number 4 is which compound?
Answer: La4SbTe